Na2In3Ge2: relaxed, GGA-PBE.

Cell and atoms, written as extended XYZ:
```
7
Lattice="4.5419 0.0000 0.0000 0.0000 3.8898 0.0000 0.0000 -1.9449 10.3409" Properties=species:S:1:pos:R:3 pbc="T T T"
Na 0.0000 1.9449 6.8430
Na 0.0000 0.0000 3.4980
In 2.2710 1.9449 1.5511
In 2.2710 0.0000 8.7898
In 0.0000 0.0000 0.0000
Ge 2.2710 1.9449 4.4272
Ge 2.2710 0.0000 5.9137
```

Values from the calculation:
As for the formation energy: -46 meV/atom. The calculation puts the raw total energy at -20.41 eV/cell. The value obtained for the density of states at the Fermi level is 2.43 states/eV per cell.


ScAgOsO6: relaxed, GGA-PBE.

Cell and atoms, written as extended XYZ:
```
9
Lattice="-0.8277 3.0999 -4.2265 -4.6271 -0.2220 -2.5879 -1.7693 3.4379 2.8684" Properties=species:S:1:pos:R:3 pbc="T T T"
Sc -4.5211 3.6373 -3.1087
Ag -7.2241 6.3157 -3.9459
Os -2.7029 2.6781 -0.8372
O -2.1589 0.9670 -0.2489
O -1.7099 3.5783 0.4945
O -3.4308 4.3119 -1.4464
O -4.1492 2.4395 0.3550
O -3.6312 1.9181 -2.2969
O -1.1376 2.8539 -1.8808
```

Values from the calculation:
The calculation puts the raw total energy at -62.96 eV/cell. The value obtained for the density of states at the Fermi level is 0.56 states/eV per cell. For the uncorrected formation energy, the calculation gives -1.422 eV per atom.


Sn3PSe: relaxed, GGA-PBE.

Cell and atoms, written as extended XYZ:
```
5
Lattice="-0.0236 -5.1919 -1.0304 5.1453 -0.2644 1.2142 -1.2424 -0.9962 5.0480" Properties=species:S:1:pos:R:3 pbc="T T T"
P 0.0000 0.0000 0.0000
Sn 2.5726 -0.1322 0.6071
Sn -0.6212 -0.4981 2.5240
Sn -0.0118 -2.5959 -0.5152
Se 1.9396 -3.2262 2.6159
```

Values from the calculation:
Its relative energy among the computed polymorphs is 0.000 eV per atom. The calculation puts the raw total energy at -18.97 eV/cell. The value obtained for the density of states at the Fermi level is 2.57 states/eV per cell. For the uncorrected formation energy, the calculation gives 0.386 eV per atom.


PrZrIn4: relaxed, GGA-PBE.

Cell and atoms, written as extended XYZ:
```
6
Lattice="-2.6067 3.5780 -3.9731 -5.1043 2.7351 1.3593 -0.0770 5.8803 0.8934" Properties=species:S:1:pos:R:3 pbc="T T T"
Pr -1.9470 3.0484 -0.4301
Zr 0.0000 0.0000 0.0000
In -4.8316 4.6769 -1.5238
In -2.3110 6.2538 -1.7573
In -4.8702 7.6251 -1.0758
In -3.5633 5.8312 0.9161
```

Values from the calculation:
As for the formation energy: -211 meV/atom. The calculation puts the raw total energy at -25.54 eV/cell. The value obtained for the density of states at the Fermi level is 3.21 states/eV per cell.


LaTm2Os: relaxed, GGA-PBE.

Cell and atoms, written as extended XYZ:
```
4
Lattice="4.6825 0.0000 0.0000 2.3412 4.0551 0.0000 2.3412 1.3517 5.6809" Properties=species:S:1:pos:R:3 pbc="T T T"
Tm 2.3412 1.3517 0.8676
Tm 7.0237 4.0551 4.8133
Os 0.0000 0.0000 0.0000
La 4.6825 2.7034 2.8404
```

Values from the calculation:
As for the formation energy: 67 meV/atom. Its relative energy among the computed polymorphs is 0.313 eV per atom. The calculation puts the raw total energy at -24.83 eV/cell. The value obtained for the density of states at the Fermi level is 3.87 states/eV per cell.


Rb3Cd2: relaxed, GGA-PBE.

Cell and atoms, written as extended XYZ:
```
10
Lattice="8.9387 0.0000 0.0000 4.4693 7.7411 0.0000 4.4693 2.5804 8.4090" Properties=species:S:1:pos:R:3 pbc="T T T"
Rb 8.0179 7.7411 6.3067
Rb 11.6337 4.6680 6.3067
Rb 7.1644 3.0731 6.3067
Rb 6.2436 5.6535 2.1022
Rb 10.7129 7.2483 2.1022
Rb 9.8594 2.5804 2.1022
Cd 13.4080 7.7411 4.8349
Cd 4.4693 2.5804 0.6304
Cd 4.4693 2.5804 3.5741
Cd 13.4080 7.7411 7.7786
```

Values from the calculation:
As for the formation energy: 17 meV/atom. Its relative energy among the computed polymorphs is 0.051 eV per atom. The calculation puts the raw total energy at -9.29 eV/cell. The value obtained for the density of states at the Fermi level is 6.99 states/eV per cell.


KTa2Co: relaxed, GGA-PBE.

Cell and atoms, written as extended XYZ:
```
4
Lattice="-1.2042 2.1252 -1.8660 -2.6343 -0.1053 1.5801 0.4522 6.5235 7.1376" Properties=species:S:1:pos:R:3 pbc="T T T"
Co -1.3330 2.6877 3.9212
K -2.3685 5.6174 5.3942
Ta -2.3886 0.4112 2.0097
Ta -1.0217 2.9309 1.4655
```

Values from the calculation:
As for the formation energy: 521 meV/atom. Its relative energy among the computed polymorphs is 0.000 eV per atom. The calculation puts the raw total energy at -29.83 eV/cell. The value obtained for the density of states at the Fermi level is 2.80 states/eV per cell.


SrMg2Hg2: relaxed, GGA-PBE.

Cell and atoms, written as extended XYZ:
```
10
Lattice="-2.3941 6.6063 5.0084 -5.2605 2.8186 -6.2324 -2.5297 -1.8882 1.2813" Properties=species:S:1:pos:R:3 pbc="T T T"
Sr 0.0000 0.0000 0.0000
Sr -3.8273 4.7124 -0.6120
Mg -5.5215 4.9692 -3.5785
Mg -5.3749 7.5524 0.5177
Mg -2.1331 4.4557 2.3546
Mg -2.2797 1.8725 -1.7416
Hg -5.2313 2.1104 -2.6892
Hg -7.2221 5.8388 -1.1253
Hg -4.9531 5.4263 2.7466
Hg -2.9623 1.6979 1.1827
```

Values from the calculation:
As for the formation energy: -234 meV/atom. Its relative energy among the computed polymorphs is 0.131 eV per atom. The calculation puts the raw total energy at -13.29 eV/cell. The value obtained for the density of states at the Fermi level is 6.80 states/eV per cell.


Cd3PSe: relaxed, GGA-PBE.

Cell and atoms, written as extended XYZ:
```
5
Lattice="-1.1466 -3.5077 3.7153 3.8422 -3.1020 -1.7429 3.3683 2.3444 3.2528" Properties=species:S:1:pos:R:3 pbc="T T T"
P 3.0319 -2.1326 2.6126
Se 0.0000 0.0000 0.0000
Cd 1.9211 -1.5510 -0.8714
Cd 1.6841 1.1722 1.6264
Cd -0.5733 -1.7538 1.8577
```

Values from the calculation:
Its relative energy among the computed polymorphs is 0.491 eV per atom. The calculation puts the raw total energy at -8.67 eV/cell. The value obtained for the density of states at the Fermi level is 4.09 states/eV per cell. For the uncorrected formation energy, the calculation gives 0.594 eV per atom.


MgGe2S: relaxed, GGA-PBE.

Cell and atoms, written as extended XYZ:
```
8
Lattice="6.2149 0.0000 0.0000 0.0000 6.2149 0.0000 3.1075 3.1075 5.2932" Properties=species:S:1:pos:R:3 pbc="T T T"
Mg 3.1075 3.1075 0.0000
Mg 3.1075 6.2149 2.6466
Ge 4.8486 1.5537 1.3233
Ge 1.3663 4.6612 1.3233
Ge 4.6612 4.4738 3.9699
Ge 7.7686 7.9561 3.9699
S 0.0000 0.0000 0.0000
S 6.2149 3.1075 2.6466
```

Values from the calculation:
Its relative energy among the computed polymorphs is 0.000 eV per atom. The calculation puts the raw total energy at -28.55 eV/cell. The value obtained for the density of states at the Fermi level is 0.02 states/eV per cell. For the uncorrected formation energy, the calculation gives 0.170 eV per atom.


Sr3Li2TaO6: relaxed, GGA-PBE.

Cell and atoms, written as extended XYZ:
```
12
Lattice="-0.2511 2.4153 -5.2345 4.2359 -3.7082 1.2663 -3.7298 -4.9850 -2.1213" Properties=species:S:1:pos:R:3 pbc="T T T"
Sr 0.4114 -4.7796 -2.2251
Sr -0.1563 -1.4983 -3.8643
Sr 0.0000 0.0000 0.0000
Li -1.7384 -3.6127 -4.7641
Li 1.9934 -2.6652 -1.3254
Ta -1.8649 -2.4925 -1.0606
O 2.1897 -3.0655 -3.1541
O 0.1416 -2.4011 -1.1147
O 2.3187 -4.3069 -0.4638
O 0.1134 -3.8769 -4.9748
O -1.9346 -3.2124 -2.9353
O -2.0637 -1.9710 -5.6256
```

Values from the calculation:
The calculation puts the raw total energy at -80.68 eV/cell. The value obtained for the density of states at the Fermi level is 1.09 states/eV per cell. For the uncorrected formation energy, the calculation gives -2.517 eV per atom.


Pa2PdSe2N2: relaxed, GGA-PBE.

Cell and atoms, written as extended XYZ:
```
7
Lattice="-0.9763 -0.2740 3.6728 0.8813 -3.1363 -1.9761 11.5620 1.2535 3.1667" Properties=species:S:1:pos:R:3 pbc="T T T"
Pa 1.8065 -0.9935 2.3824
Pa 9.6605 -1.1632 2.4810
Pd 0.0000 0.0000 0.0000
Se 7.6722 0.8318 2.1014
Se 3.8898 0.4217 1.0654
N 9.6817 -0.1397 4.5394
N 1.7853 -2.0170 0.3241
```

Values from the calculation:
The calculation puts the raw total energy at -55.64 eV/cell. For the uncorrected formation energy, the calculation gives -1.120 eV per atom.


Question: What is the raw total energy in the fourth record?
Answer: -25.54 eV/cell


Question: Which of these has the highest raw total energy?
Answer: Cd3PSe


Question: What is the formula in the second record?
Answer: ScAgOsO6


Question: Which of these has the highest raw total energy?
Answer: Cd3PSe